# 1
# KMnSi2 | the Alexandria database | PBE-GGA | optimized geometry
# N(E_F) (states/eV per atom): 0.6142
# Formation energy from raw total energies (meV per atom): 261.2
# Magnetic moment (μB per atom): 0.387
# VASP energy (eV per atom): -5.02
# Relative energy among the computed polymorphs (eV/f.u.): 0.74
# Volume (Å³ per atom): 26.9
data_KMnSi2
_chemical_formula_sum 'K4 Mn4 Si8'
_cell_length_a 5.5689
_cell_length_b 5.5689
_cell_length_c 13.8826
_cell_angle_alpha 90.00
_cell_angle_beta 90.00
_cell_angle_gamma 90.00
_space_group_name_H-M_alt 'I 41/a m d'
_space_group_IT_number 141
loop_
_space_group_symop_operation_xyz
'x,y,z'
'-x,-y,-z'
'-y+1/4,x+3/4,z+1/4'
'y+1/4,-x+3/4,-z+1/4'
'-x+1/2,-y,z+1/2'
'x+1/2,y,-z+1/2'
'y+1/4,-x+1/4,z+3/4'
'-y+1/4,x+1/4,-z+3/4'
'x,-y,-z'
'-x,y,z'
'-y+1/4,-x+1/4,-z+3/4'
'y+1/4,x+1/4,z+3/4'
'-x+1/2,y,-z+1/2'
'x+1/2,-y,z+1/2'
'y+1/4,x+3/4,-z+1/4'
'-y+1/4,-x+3/4,z+1/4'
'x+1/2,y+1/2,z+1/2'
'-x+1/2,-y+1/2,-z+1/2'
'-y+3/4,x+1/4,z+3/4'
'y+3/4,-x+1/4,-z+3/4'
'-x,-y+1/2,z'
'x,y+1/2,-z'
'y+3/4,-x+3/4,z+1/4'
'-y+3/4,x+3/4,-z+1/4'
'x+1/2,-y+1/2,-z+1/2'
'-x+1/2,y+1/2,z+1/2'
'-y+3/4,-x+3/4,-z+1/4'
'y+3/4,x+3/4,z+1/4'
'-x,y+1/2,-z'
'x,-y+1/2,z'
'y+3/4,x+1/4,-z+3/4'
'-y+3/4,-x+1/4,z+3/4'
loop_
_atom_site_label
_atom_site_type_symbol
_atom_site_fract_x
_atom_site_fract_y
_atom_site_fract_z
K1 K 0.0000 0.2500 0.3750
Mn1 Mn 0.0000 0.2500 0.8750
Si1 Si 0.0000 0.0000 0.0000


# 2
# Ga3BIr | the Alexandria database | PBE-GGA | optimized geometry
# Calculated formation energy (meV per atom): 566
# N(E_F) (states/eV per atom): 0.5820
# Magnetic moment (μB per atom): 0.000
# VASP energy (eV per atom): -4.36
# Relative energy among the computed polymorphs (eV/f.u.): 0.00
# Volume (Å³ per atom): 15.0
data_Ga3BIr
_chemical_formula_sum 'Ga3 B1 Ir1'
_cell_length_a 4.2149
_cell_length_b 4.2149
_cell_length_c 4.2149
_cell_angle_alpha 90.00
_cell_angle_beta 90.00
_cell_angle_gamma 90.00
_space_group_name_H-M_alt 'P m -3 m'
_space_group_IT_number 221
_space_group_name_Hall '-P 4 2 3'
loop_
_atom_site_label
_atom_site_type_symbol
_atom_site_fract_x
_atom_site_fract_y
_atom_site_fract_z
Ga1 Ga 0.0000 0.0000 0.5000
B1 B 0.0000 0.0000 0.0000
Ir1 Ir 0.5000 0.5000 0.5000


Q: N(E_F) of number 1 (KMnSi2)?
A: 0.6142 states/eV per atom


Q: What is the relative energy among the computed polymorphs in the second record?
A: 0.00 eV/f.u.


Q: magnetic moment of number 2 (Ga3BIr)?
A: 0.000 μB per atom


Q: What is the relative energy among the computed polymorphs in the first record?
A: 0.74 eV/f.u.